Record 1
Material: DyTmBr2O2
Method: DFT, PBE
State: optimized geometry

Structure (CIF):
```
data_DyTmBr2O2
_chemical_formula_sum 'Dy1 Tm1 Br2 O2'
_symmetry_space_group_name_H-M 'P 4 m m'
_symmetry_Int_Tables_number 99
_symmetry_space_group_name_Hall 'P 4 -2'
_cell_length_a 3.7986
_cell_length_b 3.7986
_cell_length_c 8.6405
_cell_angle_alpha 90.00
_cell_angle_beta 90.00
_cell_angle_gamma 90.00
loop_
_atom_site_label
_atom_site_fract_x
_atom_site_fract_y
_atom_site_fract_z
_atom_site_occupancy
Dy1 0.0000 0.0000 0.0000 1
Tm1 0.5000 0.5000 0.2619 1
Br1 0.0000 0.0000 0.4550 1
Br2 0.5000 0.5000 0.8076 1
O1 0.0000 0.5000 0.1341 1
```

Theoretical density: 6.97 Mg/m³
Total energy: -0.4892 Ry per atom


Record 2
Material: NaCuF3
Method: DFT, PBE
State: optimized geometry

Structure (CIF):
```
data_NaCuF3
_chemical_formula_sum 'Na4 Cu4 F12'
_symmetry_space_group_name_H-M 'P -1'
_symmetry_Int_Tables_number 2
_symmetry_space_group_name_Hall '-P 1'
_cell_length_a 5.2582
_cell_length_b 5.4739
_cell_length_c 7.5839
_cell_angle_alpha 89.90
_cell_angle_beta 89.35
_cell_angle_gamma 89.27
loop_
_atom_site_label
_atom_site_fract_x
_atom_site_fract_y
_atom_site_fract_z
_atom_site_occupancy
Na1 0.0158 0.0624 0.2515 1
Na2 0.4806 0.5633 0.2480 1
Cu1 0.0000 0.5000 0.0000 1
Cu2 0.0000 0.5000 0.5000 1
Cu3 0.5000 0.0000 0.0000 1
Cu4 0.5000 0.0000 0.5000 1
F1 0.1068 0.5302 0.7497 1
F2 0.1924 0.8015 0.0533 1
F3 0.1937 0.8010 0.4474 1
F4 0.3057 0.2996 0.4427 1
F5 0.3065 0.3014 0.0546 1
F6 0.3945 0.0361 0.7503 1
```

Theoretical density: 4.37 Mg/m³
Total energy: -0.3037 Ry per atom